(1)
The following is a PBE calculation of NaZn3As3 after structural relaxation, from the Alexandria database.

The calculated total energy is -2.825 eV per atom. The space group is No. 223. For the energy of formation, the calculation gives -98 meV per atom. The total magnetization comes out at 0.0000 μB/atom.

abc: 7.016 7.016 7.016
angles: 90.00 90.00 90.00
Sites, in units of the cell vectors:
Na 0.000 0.000 0.000
Na 0.500 0.500 0.500
Zn 0.000 0.250 0.500
Zn 0.000 0.750 0.500
Zn 0.250 0.500 0.000
Zn 0.500 0.000 0.250
Zn 0.500 0.000 0.750
Zn 0.750 0.500 0.000
As 0.000 0.500 0.250
As 0.000 0.500 0.750
As 0.250 0.000 0.500
As 0.500 0.250 0.000
As 0.500 0.750 0.000
As 0.750 0.000 0.500

=====

(2)
The following is a PBE calculation of FeReRu2 after structural relaxation, from the Alexandria database.

The calculated total energy is -9.512 eV per atom. The space group is No. 35. For the energy of formation, the calculation gives 354 meV per atom. The total magnetization comes out at 0.8120 μB/atom.

abc: 2.655 2.655 8.829
angles: 90.00 90.00 114.90
Sites, in units of the cell vectors:
Fe 0.000 0.000 0.000
Re 0.500 0.500 0.755
Ru 0.000 0.000 0.501
Ru 0.500 0.500 0.241

=====

(3)
The following is a PBE calculation of PaSn2Ru after structural relaxation, from the Alexandria database.

The calculated total energy is -7.063 eV per atom. The space group is No. 129. For the energy of formation, the calculation gives -368 meV per atom. The energy above the most stable polymorph in this dataset is 0.0000 eV per atom. The total magnetization comes out at 0.0000 μB/atom.

abc: 4.446 4.446 9.177
angles: 90.00 90.00 90.00
Sites, in units of the cell vectors:
Pa 0.250 0.250 0.214
Pa 0.750 0.750 0.786
Sn 0.250 0.250 0.817
Sn 0.250 0.750 0.500
Sn 0.750 0.250 0.500
Sn 0.750 0.750 0.183
Ru 0.250 0.750 0.000
Ru 0.750 0.250 0.000

=====

(4)
The following is a PBE calculation of KHg3Sb after structural relaxation, from the Alexandria database.

The calculated total energy is -1.217 eV per atom. The space group is No. 221. The energy above the most stable polymorph in this dataset is 0.1916 eV per atom. The total magnetization comes out at 0.0000 μB/atom. The calculation puts the uncorrected formation energy at 0.008 eV/atom.

abc: 5.842 5.842 5.842
angles: 90.00 90.00 90.00
Sites, in units of the cell vectors:
K 0.000 0.000 0.000
Hg 0.000 0.500 0.500
Hg 0.500 0.000 0.500
Hg 0.500 0.500 0.000
Sb 0.500 0.500 0.500